1.
The following is a PBE-GGA calculation of a relaxed structure of Pm3HoCu8, from Alexandria.

Calculated values
- ΔE_f (eV per atom) = -0.123
- E_tot (eV per atom) = -4.423
- magnetic moment (μB per cell) = 0.0
- V (A^3/atom) = 17.8

Cell lengths 5.3253, 5.3253, 26.0720 Å; angles 90.00, 90.00, 120.00 degrees
Space group R3m (No. 160, hexagonal axes)
One atom of each set of equivalent atoms:
Pm 0.0000 0.0000 0.0000
Pm 0.0000 0.0000 0.1244
Pm 0.0000 0.0000 0.6074
Ho 0.0000 0.0000 0.4823
Cu 0.0000 0.0000 0.3037
Cu 0.0000 0.0000 0.8038
Cu 0.0101 0.5050 0.5532
Cu 0.1703 0.3406 0.3875

2.
The following is a PBE-GGA calculation of a relaxed structure of Ho3PdSe2, from Alexandria.

Calculated values
- E_tot (eV per atom) = -5.735
- E_form (uncorrected) (eV per atom) = -1.42
- magnetic moment (μB per cell) = 0.0
- V (A^3/atom) = 24.2

Cell lengths 8.332, 11.555, 24.107 Å; angles 90.00, 90.00, 90.00 degrees
Space group Fddd (No. 70, origin choice 2)
One atom of each set of equivalent atoms:
Ho 0.116 0.375 0.375
Ho 0.120 0.368 0.211
Pd 0.125 0.125 0.042
Se 0.125 0.125 0.377
Se 0.125 0.125 0.544

3.
The following is a PBE-GGA calculation of a relaxed structure of Tb6NdDyHo2, from Alexandria.

Calculated values
- ΔE_f (eV per atom) = 0.123
- E_tot (eV per atom) = -4.508
- magnetic moment (μB per cell) = 0.0
- V (A^3/atom) = 32.5

Cell lengths 9.074, 15.025, 9.641 Å; angles 90.00, 98.19, 90.00 degrees
Space group C2/c (No. 15)
One atom of each set of equivalent atoms:
Tb 0.065 0.184 0.444
Tb 0.102 0.395 0.621
Tb 0.201 0.226 0.818
Nd 0.000 0.406 0.250
Dy 0.000 0.024 0.750
Ho 0.244 0.051 0.044